# 1
## K2CeCl7 (PBE)

Data for a geometry-optimized K2CeCl7 structure.

The calculated total energy is -3.813 eV per atom. As for the calculated density: 2.42 g/cm³.

The structure belongs to space group C2/c (No. 15); the cell edges are 16.355, 7.784 and 12.796 Å and the angles 90.00°, 128.26° and 90.00°. The asymmetric unit holds K at (0.179, 0.049, 0.093), Ce at (0.000, 0.457, 0.750), Cl at (0.000, 0.102, 0.750), Cl at (0.098, 0.296, 0.226), Cl at (0.099, 0.279, 0.663) and Cl at (0.172, 0.439, 0.997).

=====

# 2
## K5Ce3Cl12 (PBE)

Data for a geometry-optimized K5Ce3Cl12 structure.

The calculated total energy is -4.115 eV per atom. The calculation puts the density of states at the Fermi level at 272.41 states/eV per cell. As for the calculated density: 2.58 g/cm³.

The structure belongs to space group Ia-3d (No. 230); the cell edges are 17.503, 17.503 and 17.503 Å and the angles 90.00°, 90.00° and 90.00°. The asymmetric unit holds K at (0.000, 0.000, 0.000), K at (0.000, 0.250, 0.375), Ce at (0.000, 0.250, 0.125) and Cl at (0.020, 0.084, 0.652).

=====

# 3
## KCe2Cl7 (PBE)

Data for a geometry-optimized KCe2Cl7 structure.

The calculated total energy is -4.729 eV per atom. The calculation puts the density of states at the Fermi level at 51.33 states/eV per cell. As for the calculated density: 3.14 g/cm³.

The structure belongs to space group R-3m (No. 166, hexagonal axes); the cell edges are 4.9914, 4.9914 and 41.7664 Å and the angles 90.00°, 90.00° and 120.00°. The asymmetric unit holds K at (0.0000, 0.0000, 0.0000), Ce at (0.0000, 0.0000, 0.4333), Cl at (0.0000, 0.0000, 0.0829), Cl at (0.0000, 0.0000, 0.2169), Cl at (0.0000, 0.0000, 0.3678) and Cl at (0.0000, 0.0000, 0.5000).

=====

# 4
## K3CeCl8 (PBE)

Data for a geometry-optimized K3CeCl8 structure.

The calculated total energy is -3.729 eV per atom. The calculation puts the density of states at the Fermi level at 30.25 states/eV per cell. As for the calculated density: 2.39 g/cm³.

The structure belongs to space group I4/mmm (No. 139); the cell edges are 7.208, 7.208 and 14.450 Å and the angles 90.00°, 90.00° and 90.00°. The asymmetric unit holds K at (0.000, 0.000, 0.000), K at (0.000, 0.500, 0.250), Ce at (0.000, 0.000, 0.500) and Cl at (0.224, 0.224, 0.388).

=====

# 5
## K2LiCeCl6 (PBE)

Data for a geometry-optimized K2LiCeCl6 structure.

The calculation puts the energy above the most stable polymorph in this dataset at 32 meV per atom. The calculation puts the density of states at the Fermi level at 32.55 states/eV per cell. As for the calculated density: 2.45 g/cm³.

The structure belongs to space group Fm-3m (No. 225); the cell edges are 10.592, 10.592 and 10.592 Å and the angles 90.00°, 90.00° and 90.00°. The asymmetric unit holds K at (0.250, 0.250, 0.250), Li at (0.000, 0.000, 0.000), Ce at (0.000, 0.000, 0.500) and Cl at (0.000, 0.000, 0.242).

=====

# 6
## K2LiCeCl6 (PBE)

Data for a geometry-optimized K2LiCeCl6 structure.

The calculation puts the energy above the most stable polymorph in this dataset at 0 meV per atom. The calculation puts the density of states at the Fermi level at 16.91 states/eV per cell. As for the calculated density: 2.53 g/cm³.

The structure belongs to space group P2_1/c (No. 14); the cell edges are 7.290, 7.571 and 12.637 Å and the angles 90.00°, 124.63° and 90.00°. The asymmetric unit holds K at (0.229, 0.063, 0.248), Li at (0.000, 0.000, 0.500), Ce at (0.500, 0.000, 0.000), Cl at (0.148, 0.207, 0.952), Cl at (0.248, 0.700, 0.954) and Cl at (0.334, 0.024, 0.742).

=====

# 7
## KLiCeCl6 (PBE)

Data for a geometry-optimized KLiCeCl6 structure.

The calculated total energy is -4.176 eV per atom. As for the calculated density: 2.36 g/cm³.

The structure belongs to space group P-31c (No. 163); the cell edges are 6.8228, 6.8228 and 13.9449 Å and the angles 90.00°, 90.00° and 120.00°. The asymmetric unit holds K at (0.0000, 0.0000, 0.0000), Li at (0.3333, 0.6667, 0.2500), Ce at (0.3333, 0.6667, 0.7500) and Cl at (0.0026, 0.3694, 0.1429).

=====

# 8
## K3Li2CeCl9 (PBE)

Data for a geometry-optimized K3Li2CeCl9 structure.

The calculated total energy is -3.886 eV per atom. As for the calculated density: 2.29 g/cm³.

The structure belongs to space group P-3m1 (No. 164); the cell edges are 7.2955, 7.2955 and 9.2965 Å and the angles 90.00°, 90.00° and 120.00°. The asymmetric unit holds K at (0.0000, 0.0000, 0.0000), K at (0.3333, 0.6667, 0.7400), Li at (0.3333, 0.6667, 0.1215), Ce at (0.0000, 0.0000, 0.5000), Cl at (0.0000, 0.5000, 0.0000) and Cl at (0.1673, 0.3347, 0.3326).

=====

Q: What is the calculated density in the fifth record?
A: 2.45 g/cm³

=====

Q: Which formula does entry 7 have?
A: KLiCeCl6

=====

Q: Which of these has the lowest calculated density?
A: K3Li2CeCl9